# Sn2MoHAu

Sn2MoHAu at its PBEsol-relaxed geometry (SCAN, Alexandria via LeMat-Bulk).

Results
Its density of states at the Fermi level is 2.1 states/eV per cell. Its space group is P4/mmm, No. 123. The value obtained for the electronic total energy is -177.32 eV/cell.

a = 4.733 Å, b = 4.733 Å, c = 3.533 Å
α = 90.00°, β = 90.00°, γ = 90.00°
Element x y z (fractional)
Sn  0.000  0.500  0.000
Sn  0.500  0.000  0.000
Mo  0.000  0.000  0.500
H  0.000  0.000  0.000
Au  0.500  0.500  0.500